(A)
## NaV2Fe2 (PBE-GGA)

Data for a geometry-optimized NaV2Fe2 structure.

Total moment ... 0.0 μB/cell
Space group ... P4/mbm (127)

Lattice parameters (Å, degrees): 7.1367 7.1367 2.6954 90.00 90.00 90.00
Fractional positions:
Na 0.0000 0.0000 0.0000
Na 0.5000 0.5000 0.0000
V 0.1446 0.3554 0.5000
V 0.3554 0.8554 0.5000
V 0.6446 0.1446 0.5000
V 0.8554 0.6446 0.5000
Fe 0.1377 0.6377 0.0000
Fe 0.3623 0.1377 0.0000
Fe 0.6377 0.8623 0.0000
Fe 0.8623 0.3623 0.0000

(B)
## NaV2Fe2 (PBE-GGA)

Data for a geometry-optimized NaV2Fe2 structure.

Total moment ... 0.8 μB/cell
Space group ... I4/mmm (139)

Lattice parameters (Å, degrees): 6.2009 6.2009 6.2009 144.49 144.49 51.10
Fractional positions:
Na 0.0000 0.0000 0.0000
V 0.3656 0.3656 0.0000
V 0.6344 0.6344 0.0000
Fe 0.2500 0.7500 0.5000
Fe 0.7500 0.2500 0.5000

Which is the most stable structure? (A) is the most stable.

(A)
## NaV3Fe (PBE-GGA)

Data for a geometry-optimized NaV3Fe structure.

Total moment ... 0.0 μB/cell
Space group ... Pm-3m (221)

Lattice parameters (Å, degrees): 4.4078 4.4078 4.4078 90.00 90.00 90.00
Fractional positions:
Na 0.0000 0.0000 0.0000
V 0.0000 0.5000 0.5000
V 0.5000 0.0000 0.5000
V 0.5000 0.5000 0.0000
Fe 0.5000 0.5000 0.5000

(B)
## NaV3Fe (PBE-GGA)

Data for a geometry-optimized NaV3Fe structure.

Total moment ... 4.6 μB/cell
Space group ... Pm-3m (221)

Lattice parameters (Å, degrees): 4.3829 4.3829 4.3829 90.00 90.00 90.00
Fractional positions:
Na 0.0000 0.0000 0.0000
V 0.0000 0.0000 0.5000
V 0.0000 0.5000 0.0000
V 0.5000 0.0000 0.0000
Fe 0.5000 0.5000 0.5000

Which is the most stable structure? (A) is the most stable.

(A)
## NaY2Fe (PBE-GGA)

Data for a geometry-optimized NaY2Fe structure.

Total moment ... 0.0 μB/cell
Space group ... Fd-3m (227)

Lattice parameters (Å, degrees): 7.7033 7.7033 7.7033 60.00 60.00 60.00
Fractional positions:
Na 0.1250 0.1250 0.1250
Na 0.8750 0.8750 0.8750
Y 0.0000 0.5000 0.5000
Y 0.5000 0.0000 0.5000
Y 0.5000 0.5000 0.0000
Y 0.5000 0.5000 0.5000
Fe 0.3750 0.3750 0.3750
Fe 0.6250 0.6250 0.6250

(B)
## NaY2Fe (PBE-GGA)

Data for a geometry-optimized NaY2Fe structure.

Total moment ... 0.0 μB/cell
Space group ... Fm-3m (225)

Lattice parameters (Å, degrees): 5.0297 5.0297 5.0297 60.00 60.00 60.00
Fractional positions:
Na 0.0000 0.0000 0.0000
Y 0.2500 0.2500 0.2500
Y 0.7500 0.7500 0.7500
Fe 0.5000 0.5000 0.5000

Which is the most stable structure? (B) is the most stable.

(A)
## NaY2Fe2 (PBE-GGA)

Data for a geometry-optimized NaY2Fe2 structure.

Total moment ... 6.5 μB/cell
Space group ... P4/mbm (127)

Lattice parameters (Å, degrees): 7.7310 7.7310 3.7833 90.00 90.00 90.00
Fractional positions:
Na 0.0000 0.0000 0.0000
Na 0.5000 0.5000 0.0000
Y 0.1730 0.3270 0.5000
Y 0.3270 0.8270 0.5000
Y 0.6730 0.1730 0.5000
Y 0.8270 0.6730 0.5000
Fe 0.1039 0.6039 0.0000
Fe 0.3961 0.1039 0.0000
Fe 0.6039 0.8961 0.0000
Fe 0.8961 0.3961 0.0000

(B)
## NaY2Fe2 (PBE-GGA)

Data for a geometry-optimized NaY2Fe2 structure.

Total moment ... 4.4 μB/cell
Space group ... I4/mmm (139)

Lattice parameters (Å, degrees): 10.8628 10.8628 10.8628 161.72 161.72 25.96
Fractional positions:
Na 0.0000 0.0000 0.0000
Y 0.3572 0.3572 0.0000
Y 0.6428 0.6428 0.0000
Fe 0.2500 0.7500 0.5000
Fe 0.7500 0.2500 0.5000

Which is the most stable structure? (A) is the most stable.

(A)
## NaZnFe3 (PBE-GGA)

Data for a geometry-optimized NaZnFe3 structure.

Total moment ... 8.0 μB/cell
Space group ... Pm-3m (221)

Lattice parameters (Å, degrees): 4.4205 4.4205 4.4205 90.00 90.00 90.00
Fractional positions:
Na 0.0000 0.0000 0.0000
Zn 0.5000 0.5000 0.5000
Fe 0.0000 0.0000 0.5000
Fe 0.0000 0.5000 0.0000
Fe 0.5000 0.0000 0.0000

(B)
## NaZnFe3 (PBE-GGA)

Data for a geometry-optimized NaZnFe3 structure.

Total moment ... 8.3 μB/cell
Space group ... Pm-3m (221)

Lattice parameters (Å, degrees): 4.5701 4.5701 4.5701 90.00 90.00 90.00
Fractional positions:
Na 0.0000 0.0000 0.0000
Zn 0.5000 0.5000 0.5000
Fe 0.0000 0.5000 0.5000
Fe 0.5000 0.0000 0.5000
Fe 0.5000 0.5000 0.0000

Which is the most stable structure? (B) is the most stable.

(A)
## NaZn2Fe (PBE-GGA)

Data for a geometry-optimized NaZn2Fe structure.

Total moment ... 5.1 μB/cell
Space group ... I-42d (122)

Lattice parameters (Å, degrees): 9.1206 9.1206 9.1206 149.84 149.84 43.18
Fractional positions:
Na 0.0000 0.0000 0.0000
Na 0.7500 0.2500 0.5000
Zn 0.3045 0.6250 0.1795
Zn 0.3750 0.5545 0.6795
Zn 0.4455 0.1250 0.8205
Zn 0.8750 0.6955 0.3205
Fe 0.2500 0.7500 0.5000
Fe 0.5000 0.5000 0.0000

(B)
## NaZn2Fe (PBE-GGA)

Data for a geometry-optimized NaZn2Fe structure.

Total moment ... 2.6 μB/cell
Space group ... Fm-3m (225)

Lattice parameters (Å, degrees): 4.4884 4.4884 4.4884 60.00 60.00 60.00
Fractional positions:
Na 0.0000 0.0000 0.0000
Zn 0.2500 0.2500 0.2500
Zn 0.7500 0.7500 0.7500
Fe 0.5000 0.5000 0.5000

Which is the most stable structure? (B) is the most stable.

(A)
## Na3ZnFe (PBE-GGA)

Data for a geometry-optimized Na3ZnFe structure.

Total moment ... 3.3 μB/cell
Space group ... Pm-3m (221)

Lattice parameters (Å, degrees): 5.4441 5.4441 5.4441 90.00 90.00 90.00
Fractional positions:
Na 0.0000 0.0000 0.5000
Na 0.0000 0.5000 0.0000
Na 0.5000 0.0000 0.0000
Zn 0.0000 0.0000 0.0000
Fe 0.5000 0.5000 0.5000

(B)
## Na3ZnFe (PBE-GGA)

Data for a geometry-optimized Na3ZnFe structure.

Total moment ... 3.3 μB/cell
Space group ... Pm-3m (221)

Lattice parameters (Å, degrees): 5.6320 5.6320 5.6320 90.00 90.00 90.00
Fractional positions:
Na 0.0000 0.0000 0.5000
Na 0.0000 0.5000 0.0000
Na 0.5000 0.0000 0.0000
Zn 0.5000 0.5000 0.5000
Fe 0.0000 0.0000 0.0000

Which is the most stable structure? (B) is the most stable.

(A)
## Na2ZrFe (PBE-GGA)

Data for a geometry-optimized Na2ZrFe structure.

Total moment ... 0.0 μB/cell
Space group ... Fm-3m (225)

Lattice parameters (Å, degrees): 4.8065 4.8065 4.8065 60.00 60.00 60.00
Fractional positions:
Na 0.2500 0.2500 0.2500
Na 0.7500 0.7500 0.7500
Zr 0.0000 0.0000 0.0000
Fe 0.5000 0.5000 0.5000

(B)
## Na2ZrFe (PBE-GGA)

Data for a geometry-optimized Na2ZrFe structure.

Total moment ... 0.0 μB/cell
Space group ... I-42d (122)

Lattice parameters (Å, degrees): 7.0443 7.0443 7.0443 96.10 96.10 141.94
Fractional positions:
Na 0.0324 0.6250 0.9074
Na 0.3750 0.2824 0.4074
Na 0.7176 0.1250 0.0926
Na 0.8750 0.9676 0.5926
Zr 0.2500 0.7500 0.5000
Zr 0.5000 0.5000 0.0000
Fe 0.0000 0.0000 0.0000
Fe 0.7500 0.2500 0.5000

Which is the most stable structure? (B) is the most stable.